Entry from Alexandria via LeMat-Bulk: a geometry-optimized SrMg2Sb structure (PBE).

```
data_SrMg2Sb
_chemical_formula_sum 'Sr2 Mg4 Sb2'
_symmetry_space_group_name_H-M 'P 1'
_symmetry_Int_Tables_number 1
_symmetry_space_group_name_Hall 'P 1'
_cell_length_a 4.691
_cell_length_b 4.691
_cell_length_c 10.563
_cell_angle_alpha 90.00
_cell_angle_beta 90.00
_cell_angle_gamma 90.00
loop_
_atom_site_label
_atom_site_type_symbol
_atom_site_fract_x
_atom_site_fract_y
_atom_site_fract_z
_atom_site_occupancy
Sr1 Sr 0.000 0.000 0.000 1
Sr2 Sr 0.500 0.500 0.500 1
Mg1 Mg 0.000 0.500 0.250 1
Mg2 Mg 0.000 0.500 0.750 1
Mg3 Mg 0.500 0.000 0.250 1
Mg4 Mg 0.500 0.000 0.750 1
Sb1 Sb 0.000 0.000 0.500 1
Sb2 Sb 0.500 0.500 0.000 1
```

Values from the calculation:
E in eV/cell: -20.2

Entry from Alexandria via LeMat-Bulk: a geometry-optimized SrMg2Sb structure (PBE).

```
data_SrMg2Sb
_chemical_formula_sum 'Sr2 Mg4 Sb2'
_symmetry_space_group_name_H-M 'P 1'
_symmetry_Int_Tables_number 1
_symmetry_space_group_name_Hall 'P 1'
_cell_length_a 4.557
_cell_length_b 5.038
_cell_length_c 10.146
_cell_angle_alpha 90.00
_cell_angle_beta 90.00
_cell_angle_gamma 90.00
loop_
_atom_site_label
_atom_site_type_symbol
_atom_site_fract_x
_atom_site_fract_y
_atom_site_fract_z
_atom_site_occupancy
Sr1 Sr 0.000 0.000 0.000 1
Sr2 Sr 0.500 0.500 0.500 1
Mg1 Mg 0.000 0.000 0.552 1
Mg2 Mg 0.000 0.500 0.766 1
Mg3 Mg 0.500 0.000 0.266 1
Mg4 Mg 0.500 0.500 0.052 1
Sb1 Sb 0.000 0.500 0.250 1
Sb2 Sb 0.500 0.000 0.750 1
```

Values from the calculation:
E in eV/cell: -20.0

Entry from Alexandria via LeMat-Bulk: a geometry-optimized Sr2MgSb structure (PBE).

```
data_Sr2MgSb
_chemical_formula_sum 'Sr4 Mg2 Sb2'
_symmetry_space_group_name_H-M 'P 1'
_symmetry_Int_Tables_number 1
_symmetry_space_group_name_Hall 'P 1'
_cell_length_a 4.349
_cell_length_b 5.258
_cell_length_c 12.265
_cell_angle_alpha 90.00
_cell_angle_beta 90.00
_cell_angle_gamma 90.00
loop_
_atom_site_label
_atom_site_type_symbol
_atom_site_fract_x
_atom_site_fract_y
_atom_site_fract_z
_atom_site_occupancy
Sr1 Sr 0.000 0.000 0.000 1
Sr2 Sr 0.000 0.500 0.217 1
Sr3 Sr 0.500 0.000 0.717 1
Sr4 Sr 0.500 0.500 0.500 1
Mg1 Mg 0.000 0.500 0.798 1
Mg2 Mg 0.500 0.000 0.298 1
Sb1 Sb 0.000 0.000 0.467 1
Sb2 Sb 0.500 0.500 0.967 1
```

Values from the calculation:
E in eV/cell: -22.0
ΔE to the lowest computed polymorph in meV/atom: 128

Entry from Alexandria via LeMat-Bulk: a geometry-optimized SrMg14Sb structure (PBE).

```
data_SrMg14Sb
_chemical_formula_sum 'Sr1 Mg14 Sb1'
_symmetry_space_group_name_H-M 'P 1'
_symmetry_Int_Tables_number 1
_symmetry_space_group_name_Hall 'P 1'
_cell_length_a 6.616
_cell_length_b 6.616
_cell_length_c 10.471
_cell_angle_alpha 90.00
_cell_angle_beta 90.00
_cell_angle_gamma 120.00
loop_
_atom_site_label
_atom_site_type_symbol
_atom_site_fract_x
_atom_site_fract_y
_atom_site_fract_z
_atom_site_occupancy
Sr1 Sr 0.000 0.000 0.000 1
Mg1 Mg 0.014 0.507 0.000 1
Mg2 Mg 0.171 0.342 0.262 1
Mg3 Mg 0.171 0.342 0.738 1
Mg4 Mg 0.171 0.829 0.262 1
Mg5 Mg 0.171 0.829 0.738 1
Mg6 Mg 0.493 0.507 0.000 1
Mg7 Mg 0.493 0.986 0.000 1
Mg8 Mg 0.506 0.012 0.500 1
Mg9 Mg 0.506 0.494 0.500 1
Mg10 Mg 0.658 0.829 0.262 1
Mg11 Mg 0.658 0.829 0.738 1
Mg12 Mg 0.667 0.333 0.242 1
Mg13 Mg 0.667 0.333 0.758 1
Mg14 Mg 0.988 0.494 0.500 1
Sb1 Sb 0.000 0.000 0.500 1
```

Values from the calculation:
E in eV/cell: -28.1
ΔE to the lowest computed polymorph in meV/atom: 35

Entry from Alexandria via LeMat-Bulk: a geometry-optimized Sr2MgSb structure (PBE).

```
data_Sr2MgSb
_chemical_formula_sum 'Sr2 Mg1 Sb1'
_symmetry_space_group_name_H-M 'P 1'
_symmetry_Int_Tables_number 1
_symmetry_space_group_name_Hall 'P 1'
_cell_length_a 5.443
_cell_length_b 5.443
_cell_length_c 4.555
_cell_angle_alpha 90.00
_cell_angle_beta 90.00
_cell_angle_gamma 90.00
loop_
_atom_site_label
_atom_site_type_symbol
_atom_site_fract_x
_atom_site_fract_y
_atom_site_fract_z
_atom_site_occupancy
Sr1 Sr 0.000 0.500 0.000 1
Sr2 Sr 0.500 0.000 0.000 1
Mg1 Mg 0.000 0.000 0.500 1
Sb1 Sb 0.500 0.500 0.500 1
```

Values from the calculation:
E in eV/cell: -11.3
ΔE to the lowest computed polymorph in meV/atom: 51

Entry from Alexandria via LeMat-Bulk: a geometry-optimized SrMgSb structure (PBE).

```
data_SrMgSb
_chemical_formula_sum 'Sr2 Mg2 Sb2'
_symmetry_space_group_name_H-M 'P 1'
_symmetry_Int_Tables_number 1
_symmetry_space_group_name_Hall 'P 1'
_cell_length_a 5.178
_cell_length_b 5.178
_cell_length_c 7.639
_cell_angle_alpha 90.00
_cell_angle_beta 90.00
_cell_angle_gamma 120.00
loop_
_atom_site_label
_atom_site_type_symbol
_atom_site_fract_x
_atom_site_fract_y
_atom_site_fract_z
_atom_site_occupancy
Sr1 Sr 0.000 0.000 0.000 1
Sr2 Sr 0.000 0.000 0.500 1
Mg1 Mg 0.333 0.667 0.250 1
Mg2 Mg 0.667 0.333 0.750 1
Sb1 Sb 0.333 0.667 0.750 1
Sb2 Sb 0.667 0.333 0.250 1
```

Values from the calculation:
E in eV/cell: -18.2
ΔE to the lowest computed polymorph in meV/atom: 43

We obtain calculated density values of 3.69 3.68 3.80 2.30 3.95 4.37 g/cm3 for the records listed above, in that order.
We obtain energy relative to the elements, uncorrected values of -27.23 -24.83 -45.73 0.07 -53.10 -55.08 kJ per mole of atoms for the records listed above, in that order.
We obtain Fermi-level density of states values of 3.53 4.17 5.67 9.56 1.34 3.40 states/eV/cell for the records listed above, in that order.